# MoPd3Cl9

A relaxed structure of MoPd3Cl9 (PBE, the Alexandria database).

Values from the calculation:
Formation energy without anion corrections, eV/atom: -0.466
Symmetry: Cc
Total DFT energy (no corrections), eV per atom: -3.776

a = 6.7594 Å, b = 10.4034 Å, c = 11.3475 Å
α = 86.63°, β = 72.67°, γ = 71.04°
Last column: nearest neighbours and their distance in Å.
Sites, in units of the cell vectors:
Mo 0.9043 0.4821 0.9973  5 Cl 2.29-2.44
Mo 0.6163 0.9821 0.4973  5 Cl 2.29-2.44
Pd 0.6940 0.5821 0.6085  3 Cl 2.35-2.38
Pd 0.1154 0.0821 0.1085  3 Cl 2.35-2.38
Pd 0.9664 0.0389 0.7718  4 Cl 2.31-2.51
Pd 0.2228 0.5389 0.2718  4 Cl 2.31-2.51
Pd 0.5329 0.2521 0.7649  4 Cl 2.31-2.43
Pd 0.4500 0.7521 0.2649  4 Cl 2.31-2.43
Cl 0.4907 0.1812 0.4045  1 Mo 2.29
Cl 0.9235 0.6812 0.9045  1 Mo 2.29
Cl 0.2937 0.3791 0.9452  1 Pd 2.35, 1 Mo 2.40
Cl 0.3820 0.8791 0.4452  1 Pd 2.35, 1 Mo 2.40
Cl 0.3071 0.0716 0.6818  1 Pd 2.35, 1 Mo 2.44
Cl 0.9394 0.5716 0.1819  1 Pd 2.35, 1 Mo 2.44
Cl 0.4820 0.6109 0.0926  2 Pd 2.43-2.51, 1 Mo 2.64
Cl 0.8144 0.1109 0.5926  2 Pd 2.43-2.51, 1 Mo 2.64
Cl 0.9169 0.9041 0.3273  1 Mo 2.30
Cl 0.8518 0.4041 0.8273  1 Mo 2.30
Cl 0.7607 0.7921 0.6121  1 Pd 2.37, 1 Mo 2.40
Cl 0.8351 0.2921 0.1121  1 Pd 2.37, 1 Mo 2.40
Cl 0.4538 0.5570 0.3798  2 Pd 2.31-2.34
Cl 0.6094 0.0570 0.8798  2 Pd 2.31-2.34
Cl 0.4742 0.4410 0.6461  2 Pd 2.31-2.35
Cl 0.4387 0.9410 0.1461  2 Pd 2.31-2.35
Cl 0.0803 0.9653 0.9458  2 Pd 2.33-2.38
Cl 0.0086 0.4653 0.4458  2 Pd 2.33-2.38

***

# Mo3PdCl

A relaxed structure of Mo3PdCl (PBE, the Alexandria database).

Values from the calculation:
Relative energy among the computed polymorphs, kJ/mol of atoms: 111.5
Formation energy without anion corrections, eV/atom: 2.170
Symmetry: Pm-3m
Total DFT energy (no corrections), eV per atom: -5.737

a = 4.8486 Å, b = 4.8486 Å, c = 4.8486 Å
α = 90.00°, β = 90.00°, γ = 90.00°
Last column: nearest neighbours and their distance in Å.
Sites, in units of the cell vectors:
Mo 0.0000 0.5000 0.0000  2 Pd 2.42
Mo 0.0000 0.0000 0.5000  2 Pd 2.42
Mo 0.5000 0.0000 0.0000  2 Pd 2.42
Pd 0.0000 0.0000 0.0000  6 Mo 2.42
Cl 0.5000 0.5000 0.5000  12 Mo 3.43

***

# MoPdCl2

A relaxed structure of MoPdCl2 (PBE, the Alexandria database).

Values from the calculation:
Relative energy among the computed polymorphs, kJ/mol of atoms: 54.1
Formation energy without anion corrections, eV/atom: 0.539
Symmetry: Fm-3m
Total DFT energy (no corrections), eV per atom: -4.390

a = 4.4939 Å, b = 4.4939 Å, c = 4.4939 Å
α = 60.00°, β = 60.00°, γ = 60.00°
Last column: nearest neighbours and their distance in Å.
Sites, in units of the cell vectors:
Mo 0.0000 0.0000 0.0000  8 Cl 2.75
Pd 0.5000 0.5000 0.5000  8 Cl 2.75
Cl 0.2500 0.2500 0.2500  4 Pd 2.75, 4 Mo 2.75
Cl 0.7500 0.7500 0.7500  4 Pd 2.75, 4 Mo 2.75

***

# Mo2PdCl2

A relaxed structure of Mo2PdCl2 (PBE, the Alexandria database).

Values from the calculation:
Relative energy among the computed polymorphs, kJ/mol of atoms: 0.0
Formation energy without anion corrections, eV/atom: 0.601
Symmetry: I4/mmm
Total DFT energy (no corrections), eV per atom: -5.508

a = 4.2450 Å, b = 4.2450 Å, c = 5.6329 Å
α = 67.86°, β = 67.86°, γ = 90.00°
Last column: nearest neighbours and their distance in Å.
Sites, in units of the cell vectors:
Mo 0.7500 0.2500 0.5000  4 Cl 2.38
Mo 0.2500 0.7500 0.5000  4 Cl 2.38
Pd 0.0000 0.0000 0.0000  8 Mo 3.19, 10 Cl 3.28-3.45
Cl 0.3623 0.3623 0.2755  4 Mo 2.38, 1 Cl 2.63
Cl 0.6377 0.6377 0.7245  4 Mo 2.38, 1 Cl 2.63

***

# Mo2PdCl2

A relaxed structure of Mo2PdCl2 (PBE, the Alexandria database).

Values from the calculation:
Relative energy among the computed polymorphs, kJ/mol of atoms: 10.9
Formation energy without anion corrections, eV/atom: 0.714
Symmetry: P4/mbm
Total DFT energy (no corrections), eV per atom: -5.396

a = 7.4475 Å, b = 7.4475 Å, c = 2.8022 Å
α = 90.00°, β = 90.00°, γ = 90.00°
Last column: nearest neighbours and their distance in Å.
Sites, in units of the cell vectors:
Mo 0.1750 0.6750 0.5000  6 Cl 2.47-2.70
Mo 0.6750 0.8250 0.5000  6 Cl 2.47-2.70
Mo 0.8250 0.3250 0.5000  6 Cl 2.47-2.70
Mo 0.3250 0.1750 0.5000  6 Cl 2.47-2.70
Pd 0.0000 0.0000 0.0000  2 Pd 2.80, 4 Cl 2.91, 8 Mo 3.09
Pd 0.5000 0.5000 0.0000  2 Pd 2.80, 4 Cl 2.91, 8 Mo 3.09
Cl 0.3679 0.8679 0.0000  6 Mo 2.47-2.70
Cl 0.8679 0.6321 0.0000  6 Mo 2.47-2.70
Cl 0.6321 0.1321 0.0000  6 Mo 2.47-2.70
Cl 0.1321 0.3679 0.0000  6 Mo 2.47-2.70

***

# MoPdCl3

A relaxed structure of MoPdCl3 (PBE, the Alexandria database).

Values from the calculation:
Relative energy among the computed polymorphs, kJ/mol of atoms: 0.0
Formation energy without anion corrections, eV/atom: 0.106
Symmetry: Pm-3m
Total DFT energy (no corrections), eV per atom: -4.207

a = 4.9494 Å, b = 4.9494 Å, c = 4.9494 Å
α = 90.00°, β = 90.00°, γ = 90.00°
Last column: nearest neighbours and their distance in Å.
Sites, in units of the cell vectors:
Mo 0.0000 0.0000 0.0000  6 Cl 2.47
Pd 0.5000 0.5000 0.5000  12 Cl 3.50
Cl 0.0000 0.5000 0.0000  2 Mo 2.47
Cl 0.0000 0.0000 0.5000  2 Mo 2.47
Cl 0.5000 0.0000 0.0000  2 Mo 2.47

***

# Mo3PdCl

A relaxed structure of Mo3PdCl (PBE, the Alexandria database).

Values from the calculation:
Relative energy among the computed polymorphs, kJ/mol of atoms: 0.0
Formation energy without anion corrections, eV/atom: 1.014
Symmetry: Pm-3m
Total DFT energy (no corrections), eV per atom: -6.892

a = 4.3850 Å, b = 4.3850 Å, c = 4.3850 Å
α = 90.00°, β = 90.00°, γ = 90.00°
Last column: nearest neighbours and their distance in Å.
Sites, in units of the cell vectors:
Mo 0.0000 0.5000 0.0000  2 Cl 2.19
Mo 0.0000 0.0000 0.5000  2 Cl 2.19
Mo 0.5000 0.0000 0.0000  2 Cl 2.19
Pd 0.5000 0.5000 0.5000  12 Mo 3.10
Cl 0.0000 0.0000 0.0000  6 Mo 2.19

***

# MoPd3Cl

A relaxed structure of MoPd3Cl (PBE, the Alexandria database).

Values from the calculation:
Relative energy among the computed polymorphs, kJ/mol of atoms: 0.0
Formation energy without anion corrections, eV/atom: 0.903
Symmetry: Pm-3m
Total DFT energy (no corrections), eV per atom: -4.748

a = 4.5505 Å, b = 4.5505 Å, c = 4.5505 Å
α = 90.00°, β = 90.00°, γ = 90.00°
Last column: nearest neighbours and their distance in Å.
Sites, in units of the cell vectors:
Mo 0.5000 0.5000 0.5000  12 Pd 3.22
Pd 0.0000 0.5000 0.0000  2 Cl 2.28
Pd 0.0000 0.0000 0.5000  2 Cl 2.28
Pd 0.5000 0.0000 0.0000  2 Cl 2.28
Cl 0.0000 0.0000 0.0000  6 Pd 2.28

***

# MoPdCl2

A relaxed structure of MoPdCl2 (PBE, the Alexandria database).

Values from the calculation:
Relative energy among the computed polymorphs, kJ/mol of atoms: 0.0
Formation energy without anion corrections, eV/atom: -0.021
Symmetry: R-3m
Total DFT energy (no corrections), eV per atom: -4.951

a = 8.5139 Å, b = 8.5139 Å, c = 8.5139 Å
α = 21.02°, β = 21.02°, γ = 21.02°
Last column: nearest neighbours and their distance in Å.
Sites, in units of the cell vectors:
Mo 0.5000 0.5000 0.5000  6 Cl 2.50
Pd 0.0000 0.0000 0.0000  2 Cl 2.42
Cl 0.9032 0.9032 0.9032  1 Pd 2.42, 3 Mo 2.50
Cl 0.0968 0.0968 0.0968  1 Pd 2.42, 3 Mo 2.50

***

# RbMoPdCl2

A relaxed structure of RbMoPdCl2 (PBE, the Alexandria database).

Values from the calculation:
Formation energy without anion corrections, eV/atom: 0.190
Symmetry: P4/mmm
Total DFT energy (no corrections), eV per atom: -3.947

a = 5.3095 Å, b = 5.1429 Å, c = 5.3095 Å
α = 90.00°, β = 90.00°, γ = 90.00°
Last column: nearest neighbours and their distance in Å.
Sites, in units of the cell vectors:
Mo 0.0000 0.5000 0.0000  2 Pd 2.57
Rb 0.5000 0.5000 0.5000  8 Cl 3.70, 4 Mo 3.75
Pd 0.0000 0.0000 0.0000  2 Mo 2.57, 4 Cl 2.65
Cl 0.0000 0.0000 0.5000  2 Pd 2.65
Cl 0.5000 0.0000 0.0000  2 Pd 2.65

***

# Rb2MoPdCl6

A relaxed structure of Rb2MoPdCl6 (PBE, the Alexandria database).

Values from the calculation:
Formation energy without anion corrections, eV/atom: -1.081
Symmetry: I4/mmm
Total DFT energy (no corrections), eV per atom: -3.985

a = 7.8488 Å, b = 7.8488 Å, c = 7.1747 Å
α = 56.84°, β = 56.84°, γ = 90.00°
Last column: nearest neighbours and their distance in Å.
Sites, in units of the cell vectors:
Mo 0.5000 0.5000 0.0000  6 Cl 2.31-2.47
Rb 0.7500 0.2500 0.5000  12 Cl 3.60-3.92
Rb 0.2500 0.7500 0.5000  12 Cl 3.60-3.92
Pd 0.0000 0.0000 0.0000  2 Cl 2.24
Cl 0.2459 0.2459 0.5082  1 Pd 2.24, 1 Mo 2.31
Cl 0.7541 0.7541 0.4918  1 Pd 2.24, 1 Mo 2.31
Cl 0.2778 0.2778 0.0000  1 Mo 2.47
Cl 0.7222 0.7222 0.0000  1 Mo 2.47
Cl 0.7222 0.2778 0.0000  1 Mo 2.47
Cl 0.2778 0.7222 0.0000  1 Mo 2.47

***

# ReMoPdCl2

A relaxed structure of ReMoPdCl2 (PBE, the Alexandria database).

Values from the calculation:
Formation energy without anion corrections, eV/atom: 1.293
Symmetry: P4/mmm
Total DFT energy (no corrections), eV per atom: -5.140

a = 4.5391 Å, b = 5.4321 Å, c = 4.5391 Å
α = 90.00°, β = 90.00°, γ = 90.00°
Last column: nearest neighbours and their distance in Å.
Sites, in units of the cell vectors:
Re 0.5000 0.5000 0.5000  4 Pd 3.21, 8 Cl 3.54
Mo 0.0000 0.0000 0.0000  4 Cl 2.27
Pd 0.0000 0.5000 0.0000  2 Mo 2.72
Cl 0.0000 0.0000 0.5000  2 Mo 2.27
Cl 0.5000 0.0000 0.0000  2 Mo 2.27